Entry 1:
Computed, not measured: a relaxed HgSbRuI2 crystal at the PBE level of DFT.

Computed properties:
ρ	5.73	g/cm3
relative energy among the computed polymorphs	1.020	eV per atom
formation energy (no corrections)	646	kJ/mol of formula units
density of states at the Fermi level	4.168	states/eV per cell
uncorrected energy	-10.11	eV/f.u.
spin magnetization	4.8	Bohr magnetons per cell

Unit cell a=5.9258 b=5.9258 c=5.5922 alpha=90.00 beta=90.00 gamma=90.00
Closest atoms and distances in Å follow each position.
Fractional positions:
I  0.0000  0.5000  0.0000  2 Hg 2.96
I  0.5000  0.0000  0.0000  2 Hg 2.96
Sb  0.0000  0.0000  0.5000  2 Hg 2.80
Hg  0.0000  0.0000  0.0000  2 Sb 2.80, 4 I 2.96
Ru  0.5000  0.5000  0.5000  8 I 4.07, 4 Sb 4.19



Entry 2:
Computed, not measured: a relaxed CrOs3 crystal at the PBE level of DFT.

Computed properties:
ρ	18.78	g/cm3
E_form	0.01	eV/atom
density of states at the Fermi level	7.915	states/eV per cell
uncorrected energy	-43.28	eV/f.u.
spin magnetization	0.0	Bohr magnetons per cell

Unit cell a=5.4353 b=5.4353 c=4.3040 alpha=90.00 beta=90.00 gamma=120.01
Closest atoms and distances in Å follow each position.
Fractional positions:
Cr  0.5783  0.4217  0.2500  2 Cr 2.61, 10 Os 2.63-2.80
Cr  0.4217  0.5783  0.7500  2 Cr 2.61, 10 Os 2.63-2.80
Os  0.9170  0.0830  0.7500  10 Os 2.66-2.73, 2 Cr 2.72
Os  0.0830  0.9170  0.2500  10 Os 2.66-2.73, 2 Cr 2.72
Os  0.4198  0.0927  0.7500  4 Cr 2.63-2.80, 8 Os 2.65-2.79
Os  0.5802  0.9073  0.2500  4 Cr 2.63-2.80, 8 Os 2.65-2.79
Os  0.9073  0.5802  0.7500  4 Cr 2.63-2.80, 8 Os 2.65-2.79
Os  0.0927  0.4198  0.2500  4 Cr 2.63-2.80, 8 Os 2.65-2.79



Entry 3:
Computed, not measured: a relaxed La2PuThBi4 crystal at the PBE level of DFT.

Computed properties:
ρ	9.33	g/cm3
E_form	-0.78	eV/atom
density of states at the Fermi level	18.972	states/eV per cell
uncorrected energy	-53.33	eV/f.u.
spin magnetization	5.5	Bohr magnetons per cell

Unit cell a=4.6408 b=8.0296 c=8.0510 alpha=109.43 beta=90.00 gamma=90.00
Closest atoms and distances in Å follow each position.
Fractional positions:
La  0.5000  0.0000  0.5000  6 Bi 3.31
La  0.0000  0.5000  0.5000  6 Bi 3.32
Pu  0.0000  0.0000  0.0000  6 Bi 3.25
Th  0.5000  0.5000  0.0000  6 Bi 3.25-3.26
Bi  0.5000  0.2466  0.2419  2 Pu 3.25, 1 Th 3.25, 3 La 3.31-3.32
Bi  0.5000  0.7534  0.7581  2 Pu 3.25, 1 Th 3.25, 3 La 3.31-3.32
Bi  0.0000  0.2516  0.7566  1 Pu 3.25, 2 Th 3.26, 3 La 3.31-3.32
Bi  0.0000  0.7484  0.2434  1 Pu 3.25, 2 Th 3.26, 3 La 3.31-3.32



Entry 4:
Computed, not measured: a relaxed In2AgRh crystal at the PBE level of DFT.

Computed properties:
ρ	9.71	g/cm3
E_form	0.06	eV/atom
density of states at the Fermi level	2.763	states/eV per cell
uncorrected energy	-15.42	eV/f.u.
spin magnetization	0.0	Bohr magnetons per cell

Unit cell a=4.7407 b=4.7407 c=4.7407 alpha=60.00 beta=60.00 gamma=60.00
Closest atoms and distances in Å follow each position.
Fractional positions:
In  0.0000  0.0000  0.0000  4 In 2.90, 4 Rh 2.90
In  0.2500  0.2500  0.2500  4 In 2.90, 4 Ag 2.90
Ag  0.5000  0.5000  0.5000  4 Rh 2.90, 4 In 2.90
Rh  0.7500  0.7500  0.7500  4 In 2.90, 4 Ag 2.90



Entry 5:
Computed, not measured: a relaxed ScMoAu crystal at the PBE level of DFT.

Computed properties:
ρ	8.63	g/cm3
E_form	0.45	eV/atom
relative energy among the computed polymorphs	0.516	eV per atom
density of states at the Fermi level	4.143	states/eV per cell
uncorrected energy	-19.10	eV/f.u.
spin magnetization	2.0	Bohr magnetons per cell

Unit cell a=4.5130 b=4.5130 c=4.5130 alpha=60.00 beta=60.00 gamma=60.00
Closest atoms and distances in Å follow each position.
Fractional positions:
Au  0.2500  0.2500  0.2500  4 Mo 2.76, 4 Sc 2.76
Mo  0.0000  0.0000  0.0000  4 Au 2.76
Sc  0.5000  0.5000  0.5000  4 Au 2.76



Entry 6:
Computed, not measured: a relaxed KTl6Hg4 crystal at the PBE level of DFT.

Computed properties:
ρ	9.74	g/cm3
E_form	-0.07	eV/atom
relative energy among the computed polymorphs	0.000	eV per atom
density of states at the Fermi level	3.807	states/eV per cell
uncorrected energy	-17.26	eV/f.u.
spin magnetization	0.0	Bohr magnetons per cell

Unit cell a=4.9429 b=9.0750 c=9.0750 alpha=120.00 beta=90.00 gamma=90.00
Closest atoms and distances in Å follow each position.
Fractional positions:
K  0.0000  0.0000  0.0000  6 Hg 4.00, 6 Tl 4.01
Tl  0.0000  0.5348  0.0696  5 Hg 3.17-3.23
Tl  0.5000  0.5979  0.7990  4 Hg 3.15-3.23
Tl  0.0000  0.5348  0.4652  5 Hg 3.17-3.23
Tl  0.0000  0.9304  0.4652  5 Hg 3.17-3.23
Tl  0.5000  0.2010  0.7990  4 Hg 3.15-3.23
Tl  0.5000  0.2010  0.4021  4 Hg 3.15-3.23
Hg  0.5000  0.8001  0.6002  6 Tl 3.15-3.23
Hg  0.5000  0.3998  0.1999  6 Tl 3.15-3.23
Hg  0.5000  0.8001  0.1999  6 Tl 3.15-3.23
Hg  0.0000  0.3333  0.6667  9 Tl 3.17-3.23



Entry 7:
Computed, not measured: a relaxed LiGeCl5 crystal at the PBE level of DFT.

Computed properties:
ρ	1.62	g/cm3
formation energy (no corrections)	-742	kJ/mol of formula units
density of states at the Fermi level	0.000	states/eV per cell
uncorrected energy	-23.45	eV/f.u.
spin magnetization	0.2	Bohr magnetons per cell

Unit cell a=8.7537 b=8.7649 c=8.0673 alpha=107.60 beta=107.60 gamma=103.20
Closest atoms and distances in Å follow each position.
Fractional positions:
Li  0.5000  0.0000  0.0000  2 Cl 2.22
Li  0.5000  0.0000  0.5000  2 Cl 2.22
Ge  0.8580  0.6436  0.2504  4 Cl 2.13-2.14
Ge  0.1420  0.3564  0.7496  4 Cl 2.13-2.14
Cl  0.8303  0.7945  0.0868  1 Ge 2.13
Cl  0.1211  0.7243  0.4383  1 Ge 2.14
Cl  0.4321  0.0659  0.2494  2 Li 2.22
Cl  0.7077  0.6723  0.4148  1 Ge 2.13
Cl  0.2923  0.3277  0.5852  1 Ge 2.13
Cl  0.7754  0.3809  0.0618  1 Ge 2.14
Cl  0.2246  0.6191  0.9382  1 Ge 2.14
Cl  0.5679  0.9341  0.7506  2 Li 2.22
Cl  0.8789  0.2757  0.5617  1 Ge 2.14
Cl  0.1697  0.2055  0.9132  1 Ge 2.13



Entry 8:
Computed, not measured: a relaxed Fe2Re crystal at the PBE level of DFT.

Computed properties:
ρ	13.83	g/cm3
E_form	-0.01	eV/atom
density of states at the Fermi level	23.363	states/eV per cell
uncorrected energy	-29.39	eV/f.u.
spin magnetization	19.4	Bohr magnetons per cell

Unit cell a=4.6508 b=4.6508 c=15.2739 alpha=90.00 beta=90.00 gamma=120.00
Closest atoms and distances in Å follow each position.
Fractional positions:
Fe  0.6667  0.3333  0.1261  6 Fe 2.34-2.35
Fe  0.3333  0.6667  0.8739  6 Fe 2.34-2.35
Fe  0.3333  0.6667  0.6261  6 Fe 2.34-2.35
Fe  0.6667  0.3333  0.3739  6 Fe 2.34-2.35
Fe  0.0000  0.5000  0.0000  6 Fe 2.33-2.35
Fe  0.5000  0.5000  0.0000  6 Fe 2.33-2.35
Fe  0.5000  0.0000  0.0000  6 Fe 2.33-2.35
Fe  0.0000  0.5000  0.5000  6 Fe 2.33-2.35
Fe  0.5000  0.5000  0.5000  6 Fe 2.33-2.35
Fe  0.5000  0.0000  0.5000  6 Fe 2.33-2.35
Fe  0.3260  0.1630  0.2500  6 Fe 2.27-2.38
Fe  0.8370  0.1630  0.2500  6 Fe 2.27-2.38
Fe  0.8370  0.6740  0.2500  6 Fe 2.27-2.38
Fe  0.6740  0.8370  0.7500  6 Fe 2.27-2.38
Fe  0.1630  0.8370  0.7500  6 Fe 2.27-2.38
Fe  0.1630  0.3260  0.7500  6 Fe 2.27-2.38
Re  0.0000  0.0000  0.0928  12 Fe 2.72-2.74, 4 Re 2.84-2.86
Re  0.0000  0.0000  0.9072  12 Fe 2.72-2.74, 4 Re 2.84-2.86
Re  0.0000  0.0000  0.5928  12 Fe 2.72-2.74, 4 Re 2.84-2.86
Re  0.0000  0.0000  0.4072  12 Fe 2.72-2.74, 4 Re 2.84-2.86
Re  0.6667  0.3333  0.8432  12 Fe 2.73-2.75, 4 Re 2.85-2.86
Re  0.3333  0.6667  0.1568  12 Fe 2.73-2.75, 4 Re 2.85-2.86
Re  0.3333  0.6667  0.3432  12 Fe 2.73-2.75, 4 Re 2.85-2.86
Re  0.6667  0.3333  0.6568  12 Fe 2.73-2.75, 4 Re 2.85-2.86



Entry 9:
Computed, not measured: a relaxed SrNi2Rh crystal at the PBE level of DFT.

Computed properties:
ρ	7.65	g/cm3
E_form	0.41	eV/atom
relative energy among the computed polymorphs	0.515	eV per atom
density of states at the Fermi level	5.256	states/eV per cell
uncorrected energy	-18.97	eV/f.u.
spin magnetization	1.0	Bohr magnetons per cell

Unit cell a=4.8970 b=4.8970 c=4.8970 alpha=130.21 beta=130.21 gamma=73.06
Closest atoms and distances in Å follow each position.
Fractional positions:
Ni  0.0000  0.0000  0.0000  4 Ni 2.85, 4 Sr 2.85, 4 Rh 2.92
Ni  0.2500  0.7500  0.5000  4 Rh 2.85, 4 Ni 2.85, 4 Sr 2.92
Rh  0.5000  0.5000  0.0000  4 Sr 2.85, 8 Ni 2.85-2.92
Sr  0.7500  0.2500  0.5000  8 Ni 2.85-2.92, 4 Rh 2.85



Entry 10:
Computed, not measured: a relaxed Nd8Ge3Te4Pt crystal at the PBE level of DFT.

Computed properties:
ρ	7.11	g/cm3
formation energy (no corrections)	-1860	kJ/mol of formula units
density of states at the Fermi level	7.781	states/eV per cell
uncorrected energy	-89.88	eV/f.u.
spin magnetization	0.0	Bohr magnetons per cell

Unit cell a=8.7340 b=8.9072 c=8.7344 alpha=119.36 beta=120.00 gamma=90.00
Closest atoms and distances in Å follow each position.
Fractional positions:
Nd  0.2412  0.7224  0.9812  2 Ge 3.00, 1 Pt 3.01, 3 Te 3.24
Nd  0.2413  0.7225  0.4825  2 Ge 3.00, 1 Pt 3.01, 3 Te 3.24
Nd  0.2577  0.2730  0.5153  3 Ge 3.02, 3 Te 3.22
Nd  0.7401  0.7224  0.9812  2 Ge 3.00, 1 Pt 3.01, 3 Te 3.24
Nd  0.2599  0.2776  0.0188  2 Ge 3.00, 1 Pt 3.01, 3 Te 3.24
Nd  0.7423  0.7270  0.4847  3 Ge 3.02, 3 Te 3.22
Nd  0.7587  0.2775  0.5175  2 Ge 3.00, 1 Pt 3.01, 3 Te 3.24
Nd  0.7588  0.2776  0.0188  2 Ge 3.00, 1 Pt 3.01, 3 Te 3.24
Ge  0.5000  0.5000  0.0000  6 Nd 3.00-3.02
Ge  0.5000  0.5000  0.5000  6 Nd 3.00-3.02
Ge  0.0000  0.5000  0.5000  6 Nd 3.00-3.02
Te  0.5000  0.0000  0.0000  6 Nd 3.24
Te  0.5000  0.0000  0.5000  6 Nd 3.22-3.24
Te  0.0000  0.0000  0.0000  6 Nd 3.22-3.24
Te  0.0000  0.0000  0.5000  6 Nd 3.22-3.24
Pt  0.0000  0.5000  0.0000  6 Nd 3.01



Entry 11:
Computed, not measured: a relaxed TmZrAl4 crystal at the PBE level of DFT.

Computed properties:
ρ	5.45	g/cm3
E_form	-0.51	eV/atom
density of states at the Fermi level	2.451	states/eV per cell
uncorrected energy	-31.06	eV/f.u.
spin magnetization	0.0	Bohr magnetons per cell

Unit cell a=5.4115 b=5.4115 c=5.4115 alpha=60.00 beta=60.00 gamma=60.00
Closest atoms and distances in Å follow each position.
Fractional positions:
Tm  0.2500  0.2500  0.2500  12 Al 3.17, 4 Zr 3.31
Al  0.6252  0.6252  0.1245  6 Al 2.70-2.71
Al  0.6252  0.1245  0.6252  6 Al 2.70-2.71
Al  0.6252  0.6252  0.6252  6 Al 2.70-2.71
Al  0.1245  0.6252  0.6252  6 Al 2.70-2.71
Zr  0.0000  0.0000  0.0000  12 Al 3.17, 4 Tm 3.31



Entry 12:
Computed, not measured: a relaxed RhSeBr2 crystal at the PBE level of DFT.

Computed properties:
ρ	6.94	g/cm3
relative energy among the computed polymorphs	1.070	eV per atom
formation energy (no corrections)	314	kJ/mol of formula units
density of states at the Fermi level	5.634	states/eV per cell
uncorrected energy	-10.92	eV/f.u.
spin magnetization	0.4	Bohr magnetons per cell

Unit cell a=4.8707 b=4.8707 c=4.8707 alpha=60.00 beta=60.00 gamma=60.00
Closest atoms and distances in Å follow each position.
Fractional positions:
Rh  0.5000  0.5000  0.5000  8 Br 2.98
Se  0.0000  0.0000  0.0000  8 Br 2.98
Br  0.2500  0.2500  0.2500  4 Se 2.98, 4 Rh 2.98
Br  0.7500  0.7500  0.7500  4 Se 2.98, 4 Rh 2.98